Version one
First-principles (PBE) data for Pr4CdRh after structural relaxation, as listed in the Alexandria database.

Lattice parameters (Å, degrees): 6.1948 8.6568 8.3829 113.84 102.29 107.66
Closest atoms and distances in Å follow each position.
Positions (direct):
Pr1 0.0522 0.2028 0.8538  2 Rh 2.91-2.97
Pr2 0.7741 0.7028 0.6309  2 Rh 3.14-3.21, 2 Cd 3.33-3.34, 1 Pr 3.47
Pr3 0.3016 0.6510 0.8538  2 Rh 2.91-2.97
Pr4 0.3567 0.9281 0.6309  2 Rh 3.14-3.21, 2 Cd 3.33-3.34, 1 Pr 3.47
Pr5 0.6433 0.0719 0.3691  2 Rh 3.14-3.21, 2 Cd 3.33-3.34, 1 Pr 3.47
Pr6 0.6984 0.3490 0.1462  2 Rh 2.91-2.97
Pr7 0.2259 0.2972 0.3691  2 Rh 3.14-3.21, 2 Cd 3.33-3.34, 1 Pr 3.47
Pr8 0.9478 0.7972 0.1462  2 Rh 2.91-2.97
Cd1 0.3695 0.6195 0.2390  8 Pr 3.30-3.51
Cd2 0.6305 0.3805 0.7610  8 Pr 3.30-3.51
Rh1 0.2490 0.9990 0.9980  8 Pr 2.91-3.21, 2 Rh 3.10
Rh2 0.7510 0.0010 0.0020  8 Pr 2.91-3.21, 2 Rh 3.10

Calculated values
D(E_F): 14.024 states/eV per cell
Space group: C2/c, No. 15
Theoretical density: 7.15 Mg/m³

Version two
First-principles (PBE) data for Pr4CdRh after structural relaxation, as listed in the Alexandria database.

Lattice parameters (Å, degrees): 10.0147 10.0147 10.0147 60.00 60.00 60.00
Closest atoms and distances in Å follow each position.
Positions (direct):
Pr1 0.4010 0.4010 0.4010  3 Rh 2.94
Pr2 0.7969 0.4010 0.4010  3 Rh 2.94
Pr3 0.4010 0.7969 0.4010  3 Rh 2.94
Pr4 0.4010 0.4010 0.7969  3 Rh 2.94
Pr5 0.5595 0.5595 0.9405  2 Rh 2.93
Pr6 0.9405 0.9405 0.5595  2 Rh 2.93
Pr7 0.5595 0.9405 0.5595  2 Rh 2.93
Pr8 0.9405 0.5595 0.9405  2 Rh 2.93
Pr9 0.9405 0.5595 0.5595  2 Rh 2.93
Pr10 0.5595 0.9405 0.9405  2 Rh 2.93
Pr11 0.1876 0.1876 0.8124  2 Cd 3.42, 2 Rh 3.61, 10 Pr 3.61-3.76
Pr12 0.8124 0.8124 0.1876  2 Cd 3.42, 2 Rh 3.61, 10 Pr 3.61-3.76
Pr13 0.1876 0.8124 0.1876  2 Cd 3.42, 2 Rh 3.61, 10 Pr 3.61-3.76
Pr14 0.8124 0.1876 0.8124  2 Cd 3.42, 2 Rh 3.61, 10 Pr 3.61-3.76
Pr15 0.8124 0.1876 0.1876  2 Cd 3.42, 2 Rh 3.61, 10 Pr 3.61-3.76
Pr16 0.1876 0.8124 0.8124  2 Cd 3.42, 2 Rh 3.61, 10 Pr 3.61-3.76
Cd1 0.1702 0.1702 0.1702  3 Cd 3.20, 6 Pr 3.42-3.57
Cd2 0.4894 0.1702 0.1702  3 Cd 3.20, 6 Pr 3.42-3.57
Cd3 0.1702 0.4894 0.1702  3 Cd 3.20, 6 Pr 3.42-3.57
Cd4 0.1702 0.1702 0.4894  3 Cd 3.20, 6 Pr 3.42-3.57
Rh1 0.6079 0.6079 0.6079  6 Pr 2.93-2.94
Rh2 0.1762 0.6079 0.6079  6 Pr 2.93-2.94
Rh3 0.6079 0.1762 0.6079  6 Pr 2.93-2.94
Rh4 0.6079 0.6079 0.1762  6 Pr 2.93-2.94

Calculated values
D(E_F): 17.800 states/eV per cell
Space group: F-43m, No. 216
Theoretical density: 7.28 Mg/m³

Least stable = version one

Version one
First-principles (PBE) data for PrCd4Rh2 after structural relaxation, as listed in the Alexandria database.

Lattice parameters (Å, degrees): 4.2624 4.2685 8.6598 104.27 90.00 90.00
Closest atoms and distances in Å follow each position.
Positions (direct):
Pr1 0.0000 0.0000 0.0000  8 Rh 3.26
Cd1 0.5000 0.8206 0.6412  2 Rh 2.78, 4 Cd 3.02
Cd2 0.0000 0.6770 0.3540  2 Rh 2.75, 4 Cd 3.02
Cd3 0.5000 0.1794 0.3588  2 Rh 2.78, 4 Cd 3.02
Cd4 0.0000 0.3230 0.6460  2 Rh 2.75, 4 Cd 3.02
Rh1 0.5000 0.5734 0.1467  1 Rh 2.46, 2 Cd 2.75
Rh2 0.5000 0.4266 0.8533  1 Rh 2.46, 2 Cd 2.75

Calculated values
D(E_F): 3.399 states/eV per cell
Space group: Cmmm, No. 65
Theoretical density: 8.66 Mg/m³

Version two
First-principles (PBE) data for PrCd4Rh2 after structural relaxation, as listed in the Alexandria database.

Lattice parameters (Å, degrees): 4.0761 8.6012 8.6012 90.00 90.00 90.00
Closest atoms and distances in Å follow each position.
Positions (direct):
Pr1 0.5000 0.0000 0.0000  4 Rh 2.98
Pr2 0.0000 0.5000 0.5000  4 Rh 2.98
Cd1 0.0000 0.1001 0.3410  3 Rh 2.77-2.80, 5 Cd 2.93-3.06
Cd2 0.0000 0.8999 0.6590  3 Rh 2.77-2.80, 5 Cd 2.93-3.06
Cd3 0.5000 0.1590 0.6001  3 Rh 2.77-2.80, 5 Cd 2.93-3.06
Cd4 0.5000 0.8410 0.3999  3 Rh 2.77-2.80, 5 Cd 2.93-3.06
Cd5 0.5000 0.3999 0.8410  3 Rh 2.77-2.80, 5 Cd 2.93-3.06
Cd6 0.5000 0.6001 0.1590  3 Rh 2.77-2.80, 5 Cd 2.93-3.06
Cd7 0.0000 0.3410 0.1001  3 Rh 2.77-2.80, 5 Cd 2.93-3.06
Cd8 0.0000 0.6590 0.8999  3 Rh 2.77-2.80, 5 Cd 2.93-3.06
Rh1 0.0000 0.1782 0.8218  6 Cd 2.77-2.80, 2 Pr 2.98
Rh2 0.0000 0.8218 0.1782  6 Cd 2.77-2.80, 2 Pr 2.98
Rh3 0.5000 0.6782 0.6782  6 Cd 2.77-2.80, 2 Pr 2.98
Rh4 0.5000 0.3218 0.3218  6 Cd 2.77-2.80, 2 Pr 2.98

Calculated values
D(E_F): 7.194 states/eV per cell
Space group: P4_2/mnm, No. 136
Theoretical density: 8.77 Mg/m³

Least stable = version one

Version one
First-principles (PBE) data for Pr7Cd2Rh2 after structural relaxation, as listed in the Alexandria database.

Lattice parameters (Å, degrees): 3.8902 9.7488 9.7488 67.29 78.49 78.49
Closest atoms and distances in Å follow each position.
Positions (direct):
Pr1 0.8581 0.0304 0.2534  2 Rh 2.96
Pr2 0.8440 0.4519 0.8600  2 Rh 3.08, 2 Cd 3.35
Pr3 0.5000 0.0984 0.9016  2 Rh 3.04, 1 Cd 3.31
Pr4 0.6701 0.4207 0.2391  2 Rh 2.91
Pr5 0.3299 0.7609 0.5793  2 Rh 2.91
Pr6 0.1419 0.7466 0.9696  2 Rh 2.96
Pr7 0.1560 0.1400 0.5481  2 Rh 3.08, 2 Cd 3.35
Cd1 0.0000 0.6370 0.3630  2 Cd 3.17, 6 Pr 3.35-3.52
Cd2 0.5000 0.4047 0.5953  2 Cd 3.17, 7 Pr 3.31-3.35
Rh1 0.6923 0.8893 0.7260  7 Pr 2.91-3.08
Rh2 0.3077 0.2740 0.1107  7 Pr 2.91-3.08

Calculated values
D(E_F): 12.889 states/eV per cell
Space group: Imm2, No. 44
Theoretical density: 7.11 Mg/m³

Version two
First-principles (PBE) data for Pr7Cd2Rh2 after structural relaxation, as listed in the Alexandria database.

Lattice parameters (Å, degrees): 7.0456 7.4179 7.0456 90.00 108.53 90.00
Closest atoms and distances in Å follow each position.
Positions (direct):
Pr1 0.0000 0.2540 0.5000  2 Rh 2.83
Pr2 0.5000 0.7460 0.0000  2 Rh 2.83
Pr3 0.0000 0.7460 0.5000  2 Rh 2.83
Pr4 0.5000 0.2540 0.0000  2 Rh 2.83
Pr5 0.0000 0.0000 0.0000  2 Rh 3.32
Pr6 0.5000 0.7549 0.5000  2 Rh 3.01, 2 Cd 3.30
Pr7 0.5000 0.2451 0.5000  2 Rh 3.01, 2 Cd 3.30
Cd1 0.8288 0.5000 0.8288  1 Cd 2.82
Cd2 0.1712 0.5000 0.1712  1 Cd 2.82
Rh1 0.7094 0.0000 0.2906  6 Pr 2.83-3.01
Rh2 0.2906 0.0000 0.7094  6 Pr 2.83-3.01

Calculated values
D(E_F): 12.471 states/eV per cell
Space group: Cmmm, No. 65
Theoretical density: 6.74 Mg/m³

Least stable = version two

Version one
First-principles (PBE) data for Pr8CdRh2 after structural relaxation, as listed in the Alexandria database.

Lattice parameters (Å, degrees): 6.5053 8.4439 8.4439 49.62 96.18 96.18
Closest atoms and distances in Å follow each position.
Positions (direct):
Pr1 0.6182 0.1198 0.6296  2 Rh 2.86-2.96
Pr2 0.3818 0.3704 0.8802  2 Rh 2.86-2.96
Pr3 0.8766 0.2032 0.2032  1 Rh 2.98, 1 Cd 3.31
Pr4 0.1234 0.7968 0.7968  1 Rh 2.98, 1 Cd 3.31
Pr5 0.6182 0.6296 0.1198  2 Rh 2.86-2.96
Pr6 0.3818 0.8802 0.3704  2 Rh 2.86-2.96
Pr7 0.1562 0.4236 0.4236  1 Rh 2.73
Pr8 0.8438 0.5764 0.5764  1 Rh 2.73
Cd1 0.0000 0.0000 0.0000  6 Pr 3.31-3.43
Rh1 0.3272 0.2690 0.2690  6 Pr 2.73-2.98
Rh2 0.6728 0.7310 0.7310  6 Pr 2.73-2.98

Calculated values
D(E_F): 13.316 states/eV per cell
Space group: C2/m, No. 12
Theoretical density: 6.84 Mg/m³

Version two
First-principles (PBE) data for Pr8CdRh2 after structural relaxation, as listed in the Alexandria database.

Lattice parameters (Å, degrees): 5.7708 8.3020 8.3020 116.14 98.00 98.00
Closest atoms and distances in Å follow each position.
Positions (direct):
Pr1 0.5642 0.3372 0.0877  2 Rh 2.93
Pr2 0.5642 0.0877 0.3372  2 Rh 2.93
Pr3 0.1920 0.3986 0.3986  4 Pr 3.23-3.55, 1 Cd 3.35, 2 Rh 3.45
Pr4 0.0000 0.2472 0.7581  2 Rh 2.95-2.96
Pr5 0.0000 0.7581 0.2472  2 Rh 2.95-2.96
Pr6 0.8081 0.6079 0.6079  4 Pr 3.23-3.55, 1 Cd 3.36, 2 Rh 3.45
Pr7 0.4355 0.9185 0.6688  2 Rh 2.93
Pr8 0.4355 0.6688 0.9185  2 Rh 2.93
Cd1 0.9997 0.0034 0.0034  8 Pr 3.35-3.73
Rh1 0.5003 0.7135 0.2930  6 Pr 2.93-2.96
Rh2 0.5003 0.2930 0.7135  6 Pr 2.93-2.96

Calculated values
D(E_F): 13.445 states/eV per cell
Space group: Cm, No. 8
Theoretical density: 6.97 Mg/m³

Least stable = version two